HoZrNi4, relaxed, DFT PBE; total energy = -6.454 eV/atom; Fermi-level density of states = 4.31 states/eV/f.u.; DFT formation energy = -2.47 eV per formula unit; ρ = 9.25 g/cm³
1.0
-0.0602 3.4725 -3.5907
1.2639 -1.2204 -4.6763
-3.4905 -0.1589 -3.5701
Ni Ho Zr
4 1 1
Direct
0.6252 0.6252 0.1245 Ni
0.6252 0.1245 0.6252 Ni
0.6252 0.6252 0.6252 Ni
0.1245 0.6252 0.6252 Ni
0.2500 0.2500 0.2500 Ho
0.0000 0.0000 0.0000 Zr